Computed, not measured: a geometry-optimized RbTl2OsBr8 structure at the PBE-GGA level of DFT.

Cell and atoms, written as POSCAR:
```
RbTl2OsBr8
1.0
6.275 -1.529 0.000
-1.721 7.815 -0.004
0.001 0.008 9.591
Os Br Tl Rb
1 8 2 1
Direct
0.000 0.000 0.000 Os
0.963 0.208 0.817 Br
0.424 0.192 0.000 Br
0.576 0.808 0.000 Br
0.038 0.792 0.817 Br
0.406 0.708 0.500 Br
0.594 0.292 0.500 Br
0.037 0.792 0.183 Br
0.962 0.208 0.183 Br
0.500 0.500 0.742 Tl
0.500 0.500 0.258 Tl
0.000 0.000 0.500 Rb
```

SG: P2/m (10)
Raw total energy, eV per atom: -3.152
Crystal system: monoclinic
D(E_F), states/eV per cell: 6.93
ΔE_f (raw), eV per atom: -0.626
Magnetic moment, Bohr magnetons per cell: 2.21

Computed, not measured: a geometry-optimized CrPAu2I structure at the PBE-GGA level of DFT.

Cell and atoms, written as POSCAR:
```
CrPAu2I
1.0
-1.576 1.190 4.356
-1.543 -4.780 0.747
4.275 -1.092 1.845
Au P Cr I
2 1 1 1
Direct
0.000 0.000 0.500 Au
0.500 0.000 0.000 Au
0.000 0.000 0.000 P
0.000 0.500 0.000 Cr
0.500 0.500 0.500 I
```

SG: P4/mmm (123)
Raw total energy, eV per atom: -4.348
Crystal system: tetragonal
D(E_F), states/eV per cell: 2.48
ΔE_f (raw), eV per atom: 0.280
Magnetic moment, Bohr magnetons per cell: 4.00

Computed, not measured: a geometry-optimized In2AgCl structure at the PBE-GGA level of DFT.

Cell and atoms, written as POSCAR:
```
In2AgCl
1.0
-3.217 2.280 -1.280
-3.343 -1.261 -2.103
-6.862 -0.964 5.195
In Cl Ag
2 1 1
Direct
0.049 0.049 0.034 In
0.451 0.451 0.466 In
0.750 0.750 0.750 Cl
0.250 0.250 0.250 Ag
```

SG: C2/m (12)
Raw total energy, eV per atom: -2.770
Crystal system: monoclinic
D(E_F), states/eV per cell: 1.40
ΔE_f (raw), eV per atom: -0.226
Magnetic moment, Bohr magnetons per cell: 0.00
E above lowest polymorph, meV/atom: 57